## TbPu2NpS4 (PBE)

Data for a relaxed structure of TbPu2NpS4.

Calculated values
**Final energy**: -9.5782 eV/atom
**Raw formation energy**: -1735 meV/atom
**N(E_F)**: 22.49 states/eV/f.u.
**Space-group type**: P2/m (10)

Cell lengths 3.9365, 6.8063, 6.8313 Å; angles 109.41, 90.00, 90.00 degrees
Each line ends with the local moment (μB).
Positions (direct):
1 S 0.0000 0.2527 0.7513  -0.10
2 S 0.0000 0.7473 0.2487  -0.10
3 S 0.5000 0.7490 0.7505  -0.07
4 S 0.5000 0.2510 0.2495  -0.07
5 Np 0.5000 0.5000 0.0000  3.95
6 Tb 0.0000 0.0000 0.0000  0.04
7 Pu 0.5000 0.0000 0.5000  5.32
8 Pu 0.0000 0.5000 0.5000  5.34